# 1
VASP calculation (PBE-GGA) on a relaxed structure of SrCoGePb.

a = 4.292 Å, b = 4.292 Å, c = 11.021 Å
α = 90.00°, β = 90.00°, γ = 90.00°
Sites, in units of the cell vectors:
Sr (0.250, 0.250, 0.226)
Sr (0.750, 0.750, 0.774)
Co (0.250, 0.750, 0.000)
Co (0.750, 0.250, 0.000)
Ge (0.250, 0.250, 0.906)
Ge (0.750, 0.750, 0.094)
Pb (0.250, 0.750, 0.500)
Pb (0.750, 0.250, 0.500)

Properties
V   203.0 Å³ per cell
DOS(E_F)   5.90 states/eV/cell
Energy relative to the elements   -27.39 kJ/mol of atoms
Symmetry   No. 129
Total DFT energy (no corrections)   -4.5622 eV per atom

=====

# 2
VASP calculation (PBE-GGA) on a relaxed structure of KCuCl2.

a = 5.505 Å, b = 5.505 Å, c = 7.803 Å
α = 90.00°, β = 90.00°, γ = 140.03°
Sites, in units of the cell vectors:
K (0.000, 0.000, 0.000)
Cu (0.000, 0.000, 0.500)
Cl (0.500, 0.500, 0.297)
Cl (0.500, 0.500, 0.703)

Properties
V   151.9 Å³ per cell
Formation energy (no corrections)   -91.7 kJ per mole of atoms
Energy above the most stable polymorph in this dataset   252 meV/atom
Symmetry   No. 65
Total DFT energy (no corrections)   -3.1723 eV per atom

=====

# 3
VASP calculation (PBE-GGA) on a relaxed structure of SiNiP.

a = 3.479 Å, b = 3.479 Å, c = 3.479 Å
α = 76.69°, β = 76.69°, γ = 76.69°
Sites, in units of the cell vectors:
Si (0.000, 0.000, 0.000)
Ni (0.661, 0.661, 0.661)
P (0.325, 0.325, 0.325)

Properties
V   39.2 Å³ per cell
DOS(E_F)   1.40 states/eV/cell
Formation energy (no corrections)   -3.7 kJ per mole of atoms
Symmetry   No. 160
Total DFT energy (no corrections)   -5.5764 eV per atom

=====

# 4
VASP calculation (PBE-GGA) on a relaxed structure of KNaTl4.

a = 3.598 Å, b = 5.528 Å, c = 9.559 Å
α = 90.00°, β = 92.34°, γ = 90.00°
Sites, in units of the cell vectors:
K (0.000, 0.000, 0.000)
Na (0.000, 0.500, 0.500)
Tl (0.402, 0.000, 0.655)
Tl (0.499, 0.500, 0.818)
Tl (0.501, 0.500, 0.182)
Tl (0.598, 0.000, 0.345)

Properties
V   190.0 Å³ per cell
DOS(E_F)   2.75 states/eV/cell
Energy relative to the elements   -6.97 kJ/mol of atoms
Energy above the most stable polymorph in this dataset   10 meV/atom
Symmetry   No. 10
Total DFT energy (no corrections)   -2.0525 eV per atom